Entry 1:
The following is a PBE calculation of a geometry-optimized HoEr2Ru structure, from Alexandria via LeMat-Bulk.

```
HoEr2Ru
1.0
1.947 -5.897 0.000
1.947 5.897 0.000
0.000 0.000 9.001
Ho Er Ru
2 4 2
Direct
0.075 0.925 0.750 Ho
0.925 0.075 0.250 Ho
0.357 0.643 0.567 Er
0.357 0.643 0.933 Er
0.643 0.357 0.067 Er
0.643 0.357 0.433 Er
0.257 0.743 0.250 Ru
0.743 0.257 0.750 Ru
```

crystal system = orthorhombic
DFT formation energy = -0.33 eV/atom
SG = Cmcm, No. 63

***

Entry 2:
The following is a PBE calculation of a geometry-optimized Ag3F structure, from Alexandria via LeMat-Bulk.

```
Ag3F
1.0
4.066 0.000 0.000
0.000 4.066 0.000
0.000 0.000 4.066
Ag F
3 1
Direct
0.000 0.000 0.500 Ag
0.000 0.500 0.000 Ag
0.500 0.000 0.000 Ag
0.500 0.500 0.500 F
```

crystal system = cubic
formation energy without anion corrections = -1.29 eV/f.u.
SG = Pm-3m, No. 221

***

| no. | offset from the most stable computed form (eV/atom) | V (Å³ per cell) |
| --- | --- | --- |
| 1 | 0.018 | 206.7 |
| 2 | 0.146 | 67.2 |